Record 1
Here is a geometry-optimized DyTmPbC structure from the Open Quantum Materials Database. Energies are from GGA-PBE.

Space-group type: P-6m2, No. 187
Energy, eV for the cell shown: -48.1
Calculated density, g cm⁻³: 10.11

Cell: 3.6127 3.6127 16.0077 Å, 90.00 90.00 120.00°
Last column: nearest neighbours and their distance in Å.
Element x y z (fractional)
1 Dy 0.0000 0.0000 0.1683  3 C 2.48
2 Dy 0.0000 0.0000 0.8317  3 C 2.48
3 Tm 0.3333 0.6667 0.3329  3 C 2.45
4 Tm 0.3333 0.6667 0.6671  3 C 2.45
5 Pb 0.0000 0.0000 0.5000  6 Tm 3.39, 6 Pb 3.61
6 Pb 0.3333 0.6667 0.0000  6 Dy 3.41, 6 Pb 3.61
7 C 0.6667 0.3333 0.2523  3 Tm 2.45, 3 Dy 2.48
8 C 0.6667 0.3333 0.7477  3 Tm 2.45, 3 Dy 2.48

=====

Record 2
Here is a geometry-optimized YCuIr2 structure from the Open Quantum Materials Database. Energies are from GGA-PBE.

Space-group type: F-43m, No. 216
Energy, eV for the cell shown: -112.6
Calculated density, g cm⁻³: 13.13

Cell: 6.4758 6.4758 6.4758 Å, 90.00 90.00 90.00°
Last column: nearest neighbours and their distance in Å.
Element x y z (fractional)
1 Y 0.0000 0.0000 0.0000  4 Cu 2.80, 4 Ir 2.80
2 Y 0.0000 0.5000 0.5000  4 Cu 2.80, 4 Ir 2.80
3 Y 0.5000 0.0000 0.5000  4 Cu 2.80, 4 Ir 2.80
4 Y 0.5000 0.5000 0.0000  4 Cu 2.80, 4 Ir 2.80
5 Cu 0.2500 0.2500 0.2500  4 Ir 2.80, 4 Y 2.80
6 Cu 0.2500 0.7500 0.7500  4 Ir 2.80, 4 Y 2.80
7 Cu 0.7500 0.2500 0.7500  4 Ir 2.80, 4 Y 2.80
8 Cu 0.7500 0.7500 0.2500  4 Ir 2.80, 4 Y 2.80
9 Ir 0.0000 0.0000 0.5000  4 Cu 2.80, 4 Ir 2.80
10 Ir 0.0000 0.5000 0.0000  4 Cu 2.80, 4 Ir 2.80
11 Ir 0.2500 0.2500 0.7500  4 Ir 2.80, 4 Y 2.80
12 Ir 0.2500 0.7500 0.2500  4 Ir 2.80, 4 Y 2.80
13 Ir 0.5000 0.0000 0.0000  4 Cu 2.80, 4 Ir 2.80
14 Ir 0.5000 0.5000 0.5000  4 Cu 2.80, 4 Ir 2.80
15 Ir 0.7500 0.2500 0.2500  4 Ir 2.80, 4 Y 2.80
16 Ir 0.7500 0.7500 0.7500  4 Ir 2.80, 4 Y 2.80

=====

Record 3
Here is a geometry-optimized ReGe structure from the Open Quantum Materials Database. Energies are from GGA-PBE.

Space-group type: P-6m2, No. 187
Energy, eV for the cell shown: -16.6
Calculated density, g cm⁻³: 14.21

Cell: 3.0404 3.0404 3.7795 Å, 90.00 90.00 120.00°
Last column: nearest neighbours and their distance in Å.
Element x y z (fractional)
1 Re 0.0000 0.0000 0.0000  6 Ge 2.58
2 Ge 0.3333 0.6667 0.5000  6 Re 2.58

=====

Record 4
Here is a geometry-optimized Dy3BiC structure from the Open Quantum Materials Database. Energies are from GGA-PBE.

Space-group type: Pm-3m, No. 221
Energy, eV for the cell shown: -29.8
Calculated density, g cm⁻³: 9.90

Cell: 4.9161 4.9161 4.9161 Å, 90.00 90.00 90.00°
Last column: nearest neighbours and their distance in Å.
Element x y z (fractional)
1 Dy 0.0000 0.0000 0.5000  2 C 2.46
2 Dy 0.0000 0.5000 0.0000  2 C 2.46
3 Dy 0.5000 0.0000 0.0000  2 C 2.46
4 Bi 0.5000 0.5000 0.5000  12 Dy 3.48
5 C 0.0000 0.0000 0.0000  6 Dy 2.46

=====

Record 5
Here is a geometry-optimized Er2TmMg3AgHg2 structure from the Open Quantum Materials Database. Energies are from GGA-PBE.

Space-group type: Amm2, No. 38
Energy, eV for the cell shown: -24.9
Calculated density, g cm⁻³: 8.46

Cell: 4.1240 7.7158 7.7158 Å, 119.79 90.00 90.00°
Last column: nearest neighbours and their distance in Å.
Element x y z (fractional)
1 Er 0.0000 0.2049 0.7951  4 Hg 3.12, 1 Ag 3.17, 6 Mg 3.36-3.45
2 Er 0.0000 0.7951 0.2049  4 Hg 3.12, 1 Ag 3.17, 6 Mg 3.36-3.45
3 Tm 0.0000 0.3854 0.3854  4 Hg 3.10, 1 Ag 3.16, 6 Mg 3.37-3.44
4 Mg 0.5000 0.0414 0.0414  2 Ag 2.81, 2 Hg 2.96
5 Mg 0.5000 0.5485 0.7944  2 Ag 2.80, 2 Hg 2.97-2.98
6 Mg 0.5000 0.7944 0.5485  2 Ag 2.80, 2 Hg 2.97-2.98
7 Ag 0.0000 0.7939 0.7939  6 Mg 2.80-2.81
8 Hg 0.5000 0.1294 0.4610  3 Mg 2.96-2.98, 2 Tm 3.10, 4 Er 3.12
9 Hg 0.5000 0.4610 0.1294  3 Mg 2.96-2.98, 2 Tm 3.10, 4 Er 3.12

=====

Record 6
Here is a geometry-optimized CsPm2Cu3Te4Se structure from the Open Quantum Materials Database. Energies are from GGA-PBE.

Space-group type: Cmcm, No. 63
Energy, eV for the cell shown: -95.1
Calculated density, g cm⁻³: 6.33

Cell: 8.1195 8.1195 18.4439 Å, 90.00 90.00 148.74°
Last column: nearest neighbours and their distance in Å.
Element x y z (fractional)
1 Cs 0.0684 0.9316 0.7500  6 Te 3.61-3.79, 2 Se 3.77
2 Cs 0.9316 0.0684 0.2500  6 Te 3.61-3.79, 2 Se 3.77
3 Pm 0.1948 0.8052 0.0962  1 Se 2.91, 5 Te 3.12-3.19
4 Pm 0.1948 0.8052 0.4038  1 Se 2.91, 5 Te 3.12-3.19
5 Pm 0.8052 0.1948 0.5962  1 Se 2.91, 5 Te 3.12-3.19
6 Pm 0.8052 0.1948 0.9038  1 Se 2.91, 5 Te 3.12-3.19
7 Cu 0.3359 0.6641 0.7500  2 Se 2.46
8 Cu 0.4164 0.5836 0.0223  4 Te 2.63-2.80, 1 Cu 2.74
9 Cu 0.4164 0.5836 0.4777  4 Te 2.63-2.80, 1 Cu 2.74
10 Cu 0.5836 0.4164 0.5223  4 Te 2.63-2.80, 1 Cu 2.74
11 Cu 0.5836 0.4164 0.9777  4 Te 2.63-2.80, 1 Cu 2.74
12 Cu 0.6641 0.3359 0.2500  2 Se 2.46
13 Te 0.1601 0.8399 0.5703  2 Cu 2.65
14 Te 0.1601 0.8399 0.9297  2 Cu 2.65
15 Te 0.4452 0.5548 0.6184  2 Cu 2.63-2.80
16 Te 0.4452 0.5548 0.8816  2 Cu 2.63-2.80
17 Te 0.5548 0.4452 0.1184  2 Cu 2.63-2.80
18 Te 0.5548 0.4452 0.3816  2 Cu 2.63-2.80
19 Te 0.8399 0.1601 0.0703  2 Cu 2.65
20 Te 0.8399 0.1601 0.4297  2 Cu 2.65
21 Se 0.2355 0.7645 0.2500  2 Cu 2.46
22 Se 0.7645 0.2355 0.7500  2 Cu 2.46

=====

Record 7
Here is a geometry-optimized Nb11Si2 structure from the Open Quantum Materials Database. Energies are from GGA-PBE.

Space-group type: R-3m, No. 166
Energy, eV for the cell shown: -120.8
Calculated density, g cm⁻³: 7.57

Cell: 10.0471 10.0471 10.0471 Å, 30.85 30.85 30.85°
Last column: nearest neighbours and their distance in Å.
Element x y z (fractional)
1 Nb 0.0000 0.0000 0.0000  6 Nb 2.75
2 Nb 0.0890 0.0890 0.5850  6 Nb 2.65-2.91, 2 Si 2.90
3 Nb 0.0890 0.5850 0.0890  6 Nb 2.65-2.91, 2 Si 2.90
4 Nb 0.1679 0.1679 0.1679  9 Nb 2.91-3.09
5 Nb 0.3523 0.3523 0.3523  1 Si 2.86, 12 Nb 3.13-3.20
6 Nb 0.4150 0.9110 0.9110  6 Nb 2.65-2.91, 2 Si 2.90
7 Nb 0.5850 0.0890 0.0890  6 Nb 2.65-2.91, 2 Si 2.90
8 Nb 0.6477 0.6477 0.6477  1 Si 2.86, 12 Nb 3.13-3.20
9 Nb 0.8321 0.8321 0.8321  9 Nb 2.91-3.09
10 Nb 0.9110 0.4150 0.9110  6 Nb 2.65-2.91, 2 Si 2.90
11 Nb 0.9110 0.9110 0.4150  6 Nb 2.65-2.91, 2 Si 2.90
12 Si 0.4520 0.4520 0.4520  1 Si 2.75, 7 Nb 2.86-2.90
13 Si 0.5480 0.5480 0.5480  1 Si 2.75, 7 Nb 2.86-2.90

=====

Record 8
Here is a geometry-optimized HfPbAu structure from the Open Quantum Materials Database. Energies are from GGA-PBE.

Space-group type: P4/mmm, No. 123
Energy, eV for the cell shown: -34.0
Calculated density, g cm⁻³: 14.67

Cell: 3.6520 3.6520 9.8909 Å, 90.00 90.00 90.00°
Last column: nearest neighbours and their distance in Å.
Element x y z (fractional)
1 Hf 0.0000 0.0000 0.0000  8 Au 2.94, 2 Pb 3.12
2 Hf 0.5000 0.5000 0.5000  8 Pb 3.16, 2 Au 3.54
3 Pb 0.0000 0.0000 0.3158  4 Au 3.10, 5 Hf 3.12-3.16
4 Pb 0.0000 0.0000 0.6842  4 Au 3.10, 5 Hf 3.12-3.16
5 Au 0.5000 0.5000 0.1422  1 Au 2.81, 4 Hf 2.94, 4 Pb 3.10
6 Au 0.5000 0.5000 0.8578  1 Au 2.81, 4 Hf 2.94, 4 Pb 3.10

=====

Record 9
Here is a geometry-optimized HfZrPd2Pb2 structure from the Open Quantum Materials Database. Energies are from GGA-PBE.

Space-group type: Pm, No. 6
Energy, eV for the cell shown: -156.6
Calculated density, g cm⁻³: 11.05

Cell: 9.1356 4.5674 13.7043 Å, 90.00 109.47 90.00°
Last column: nearest neighbours and their distance in Å.
Element x y z (fractional)
1 Hf 0.0000 0.0000 0.0000  4 Pd 2.78-2.80
2 Hf 0.1252 0.5000 0.7503  4 Pd 2.77-2.79
3 Hf 0.2500 0.0000 0.5003  4 Pd 2.78-2.79
4 Hf 0.4998 0.0000 0.0001  4 Pd 2.78-2.80
5 Zr 0.3749 0.5000 0.2501  4 Pd 2.80-2.81
6 Zr 0.6250 0.5000 0.7504  4 Pd 2.80-2.82
7 Zr 0.7501 0.0000 0.5004  4 Pd 2.81
8 Zr 0.8749 0.5000 0.2500  4 Pd 2.80-2.81
9 Pd 0.0617 0.5000 0.1232  2 Hf 2.78, 4 Pb 2.78-2.81, 2 Zr 2.81
10 Pd 0.1875 0.0000 0.8749  4 Pb 2.79, 4 Hf 2.79-2.80
11 Pd 0.3102 0.5000 0.6246  4 Pb 2.78-2.80, 3 Hf 2.79, 1 Zr 2.82
12 Pd 0.4359 0.0000 0.3762  1 Hf 2.78, 4 Pb 2.80-2.82, 3 Zr 2.80-2.81
13 Pd 0.5614 0.5000 0.1234  2 Hf 2.78, 4 Pb 2.78-2.81, 2 Zr 2.81
14 Pd 0.6882 0.0000 0.8770  2 Hf 2.78, 4 Pb 2.78-2.81, 2 Zr 2.81
15 Pd 0.8153 0.5000 0.6266  1 Hf 2.77, 4 Pb 2.79-2.82, 3 Zr 2.80-2.81
16 Pd 0.9400 0.0000 0.3760  1 Hf 2.78, 4 Pb 2.79-2.82, 3 Zr 2.80-2.81
17 Pb 0.9999 0.5000 0.5002  4 Pd 2.78-2.79
18 Pb 0.1246 0.0000 0.2494  4 Pd 2.79-2.81
19 Pb 0.2496 0.5000 0.9994  4 Pd 2.79
20 Pb 0.3751 0.0000 0.7502  4 Pd 2.79-2.81
21 Pb 0.5005 0.5000 0.5011  4 Pd 2.80-2.82
22 Pb 0.6250 0.0000 0.2503  4 Pd 2.81-2.82
23 Pb 0.7500 0.5000 0.0002  4 Pd 2.78
24 Pb 0.8753 0.0000 0.7510  4 Pd 2.79-2.81

=====

Record 10
Here is a geometry-optimized NiBiMoOs structure from the Open Quantum Materials Database. Energies are from GGA-PBE.

Space-group type: F-43m, No. 216
Energy, eV for the cell shown: -116.2
Calculated density, g cm⁻³: 13.93

Cell: 6.4154 6.4154 6.4154 Å, 90.00 90.00 90.00°
Last column: nearest neighbours and their distance in Å.
Element x y z (fractional)
1 Ni 0.0000 0.0000 0.0000  4 Bi 2.78, 4 Os 2.78
2 Ni 0.0000 0.5000 0.5000  4 Bi 2.78, 4 Os 2.78
3 Ni 0.5000 0.0000 0.5000  4 Bi 2.78, 4 Os 2.78
4 Ni 0.5000 0.5000 0.0000  4 Bi 2.78, 4 Os 2.78
5 Bi 0.2500 0.2500 0.7500  4 Mo 2.78, 4 Ni 2.78
6 Bi 0.2500 0.7500 0.2500  4 Mo 2.78, 4 Ni 2.78
7 Bi 0.7500 0.2500 0.2500  4 Mo 2.78, 4 Ni 2.78
8 Bi 0.7500 0.7500 0.7500  4 Ni 2.78, 4 Mo 2.78
9 Mo 0.0000 0.0000 0.5000  4 Os 2.78, 4 Bi 2.78
10 Mo 0.0000 0.5000 0.0000  4 Os 2.78, 4 Bi 2.78
11 Mo 0.5000 0.0000 0.0000  4 Os 2.78, 4 Bi 2.78
12 Mo 0.5000 0.5000 0.5000  4 Os 2.78, 4 Bi 2.78
13 Os 0.2500 0.2500 0.2500  4 Mo 2.78, 4 Ni 2.78
14 Os 0.2500 0.7500 0.7500  4 Mo 2.78, 4 Ni 2.78
15 Os 0.7500 0.2500 0.7500  4 Mo 2.78, 4 Ni 2.78
16 Os 0.7500 0.7500 0.2500  4 Mo 2.78, 4 Ni 2.78

=====

Record 11
Here is a geometry-optimized La2PrMg3Ir2Pt structure from the Open Quantum Materials Database. Energies are from GGA-PBE.

Space-group type: Amm2, No. 38
Energy, eV for the cell shown: -49.6
Calculated density, g cm⁻³: 8.69

Cell: 4.1473 7.5641 7.5641 Å, 120.34 90.00 90.00°
Last column: nearest neighbours and their distance in Å.
Element x y z (fractional)
1 La 0.0000 0.2093 0.7907  4 Ir 3.04-3.07, 1 Pt 3.17, 2 Mg 3.31
2 La 0.0000 0.7907 0.2093  4 Ir 3.04-3.07, 1 Pt 3.17, 2 Mg 3.31
3 Pr 0.0000 0.6268 0.6268  4 Ir 3.10, 1 Pt 3.12, 6 Mg 3.30-3.42
4 Mg 0.5000 0.2118 0.4507  2 Pt 2.75, 2 Ir 2.92-2.94
5 Mg 0.5000 0.4507 0.2118  2 Pt 2.75, 2 Ir 2.92-2.94
6 Mg 0.5000 0.9672 0.9672  2 Pt 2.77, 2 Ir 2.92
7 Ir 0.5000 0.5447 0.8814  3 Mg 2.92-2.94, 4 La 3.04-3.07, 2 Pr 3.10
8 Ir 0.5000 0.8814 0.5447  3 Mg 2.92-2.94, 4 La 3.04-3.07, 2 Pr 3.10
9 Pt 0.0000 0.2116 0.2116  6 Mg 2.75-2.77

=====

Record 12
Here is a geometry-optimized TmNbTl structure from the Open Quantum Materials Database. Energies are from GGA-PBE.

Space-group type: F-43m, No. 216
Energy, eV for the cell shown: -60.3
Distance to the lowest polymorph of the same formula, kJ per mole of atoms: 0.00
Calculated density, g cm⁻³: 9.67

Cell: 6.8414 6.8414 6.8414 Å, 90.00 90.00 90.00°
Last column: nearest neighbours and their distance in Å.
Element x y z (fractional)
1 Tm 0.0000 0.0000 0.0000  4 Tl 2.96
2 Tm 0.0000 0.5000 0.5000  4 Tl 2.96
3 Tm 0.5000 0.0000 0.5000  4 Tl 2.96
4 Tm 0.5000 0.5000 0.0000  4 Tl 2.96
5 Nb 0.0000 0.0000 0.5000  4 Tl 2.96
6 Nb 0.0000 0.5000 0.0000  4 Tl 2.96
7 Nb 0.5000 0.0000 0.0000  4 Tl 2.96
8 Nb 0.5000 0.5000 0.5000  4 Tl 2.96
9 Tl 0.2500 0.2500 0.7500  4 Nb 2.96, 4 Tm 2.96
10 Tl 0.2500 0.7500 0.2500  4 Nb 2.96, 4 Tm 2.96
11 Tl 0.7500 0.2500 0.2500  4 Nb 2.96, 4 Tm 2.96
12 Tl 0.7500 0.7500 0.7500  4 Nb 2.96, 4 Tm 2.96